1.
# SrMg2Br

A PBEsol-optimized structure of SrMg2Br (meta-GGA SCAN, Alexandria).

Cell and atoms, written as POSCAR:
```
SrMg2Br
1.0
9.150 0.000 0.000
0.000 9.150 0.000
0.000 0.000 6.065
Sr Mg Br
4 8 4
direct
0.000 0.000 0.000
0.000 0.500 0.250
0.500 0.000 0.750
0.500 0.500 0.500
0.210 0.750 0.625
0.250 0.210 0.375
0.250 0.290 0.875
0.290 0.750 0.125
0.710 0.250 0.125
0.750 0.710 0.875
0.750 0.790 0.375
0.790 0.250 0.625
0.000 0.000 0.500
0.000 0.500 0.750
0.500 0.000 0.250
0.500 0.500 0.000
```

Properties
magnetic moment: 0.000 μB per atom
DFT total energy: -13.33 eV/atom
space-group type: No. 122


2.
# SrMgBr

A PBEsol-optimized structure of SrMgBr (meta-GGA SCAN, Alexandria).

Cell and atoms, written as POSCAR:
```
SrMgBr
1.0
7.445 0.000 0.000
0.000 7.445 0.000
0.000 0.000 7.445
Sr Mg Br
4 4 4
direct
0.000 0.000 0.000
0.000 0.500 0.500
0.500 0.000 0.500
0.500 0.500 0.000
0.000 0.000 0.500
0.000 0.500 0.000
0.500 0.000 0.000
0.500 0.500 0.500
0.250 0.250 0.250
0.250 0.750 0.750
0.750 0.250 0.750
0.750 0.750 0.250
```

Properties
magnetic moment: 0.020 μB per atom
DFT total energy: -16.11 eV/atom
space-group type: No. 216


3.
# SrMgBr2

A PBEsol-optimized structure of SrMgBr2 (meta-GGA SCAN, Alexandria).

Cell and atoms, written as POSCAR:
```
SrMgBr2
1.0
14.872 0.000 0.000
0.000 3.832 0.000
-1.566 0.000 4.651
Sr Mg Br
2 2 4
direct
0.000 0.000 0.000
0.500 0.500 0.000
0.274 0.000 0.808
0.774 0.500 0.808
0.169 0.500 0.163
0.471 0.000 0.472
0.669 0.000 0.163
0.971 0.500 0.472
```

Properties
excess energy over the best structure of this formula in the dataset: 0 meV/atom
magnetic moment: 0.000 μB per atom
space-group type: No. 8